(a)
DFT (PBE) results for a relaxed structure of TbPmPr2.

The structure in CIF format:
```
data_TbPmPr2
_cell_length_a 3.6626
_cell_length_b 3.6626
_cell_length_c 10.3471
_cell_angle_alpha 90.00
_cell_angle_beta 90.00
_cell_angle_gamma 90.00
_space_group_name_H-M_alt 'P 4/m m m'
_space_group_IT_number 123
_space_group_name_Hall '-P 4 2'
loop_
_atom_site_label
_atom_site_type_symbol
_atom_site_fract_x
_atom_site_fract_y
_atom_site_fract_z
_atom_site_occupancy
Tb1 Tb 0.0000 0.0000 0.0000 1
Pm1 Pm 0.0000 0.0000 0.5000 1
Pr1 Pr 0.5000 0.5000 0.2473 1
```



(b)
DFT (PBE) results for a relaxed structure of TbPmPr2.

The structure in CIF format:
```
data_TbPmPr2
_cell_length_a 5.7076
_cell_length_b 3.5945
_cell_length_c 13.5344
_cell_angle_alpha 90.00
_cell_angle_beta 90.00
_cell_angle_gamma 90.00
_space_group_name_H-M_alt 'A m m 2'
_space_group_IT_number 38
loop_
_space_group_symop_operation_xyz
'x,y,z'
'-x,-y,z'
'-x,y,z'
'x,-y,z'
'x,y+1/2,z+1/2'
'-x,-y+1/2,z+1/2'
'-x,y+1/2,z+1/2'
'x,-y+1/2,z+1/2'
loop_
_atom_site_label
_atom_site_type_symbol
_atom_site_fract_x
_atom_site_fract_y
_atom_site_fract_z
_atom_site_occupancy
Tb1 Tb 0.0000 0.0000 0.0000 1
Pm1 Pm 0.5000 0.0000 0.3618 1
Pr1 Pr 0.0000 0.0000 0.7421 1
Pr2 Pr 0.5000 0.0000 0.6161 1
```



Verdict on stability: (b) comes out at the bottom.



(a)
DFT (PBE) results for a relaxed structure of Tb4PmPr3.

The structure in CIF format:
```
data_Tb4PmPr3
_cell_length_a 10.2885
_cell_length_b 7.2522
_cell_length_c 7.2537
_cell_angle_alpha 90.00
_cell_angle_beta 90.00
_cell_angle_gamma 90.00
_space_group_name_H-M_alt 'P m n a'
_space_group_IT_number 53
loop_
_space_group_symop_operation_xyz
'x,y,z'
'-x,-y,-z'
'-x+1/2,-y,z+1/2'
'x+1/2,y,-z+1/2'
'x,-y,-z'
'-x,y,z'
'-x+1/2,y,-z+1/2'
'x+1/2,-y,z+1/2'
loop_
_atom_site_label
_atom_site_type_symbol
_atom_site_fract_x
_atom_site_fract_y
_atom_site_fract_z
_atom_site_occupancy
Tb1 Tb 0.0000 0.0000 0.0000 1
Tb2 Tb 0.0000 0.5000 0.5000 1
Tb3 Tb 0.2500 0.2496 0.2500 1
Pm1 Pm 0.0000 0.0000 0.5000 1
Pr1 Pr 0.0000 0.5000 0.0000 1
Pr2 Pr 0.2500 0.2489 0.7500 1
```



(b)
DFT (PBE) results for a relaxed structure of Tb4PmPr3.

The structure in CIF format:
```
data_Tb4PmPr3
_cell_length_a 11.7094
_cell_length_b 7.3570
_cell_length_c 6.3427
_cell_angle_alpha 90.00
_cell_angle_beta 90.00
_cell_angle_gamma 90.00
_space_group_name_H-M_alt 'P m n 21'
_space_group_IT_number 31
loop_
_space_group_symop_operation_xyz
'x,y,z'
'-x+1/2,-y,z+1/2'
'-x,y,z'
'x+1/2,-y,z+1/2'
loop_
_atom_site_label
_atom_site_type_symbol
_atom_site_fract_x
_atom_site_fract_y
_atom_site_fract_z
_atom_site_occupancy
Tb1 Tb 0.0000 0.1213 0.0000 1
Tb2 Tb 0.0000 0.8784 0.5005 1
Tb3 Tb 0.2495 0.8784 0.8325 1
Pm1 Pm 0.0000 0.6286 0.9989 1
Pr1 Pr 0.0000 0.3726 0.4985 1
Pr2 Pr 0.2497 0.3723 0.8347 1
```



Verdict on stability: (b) comes out at the bottom.



(a)
DFT (PBE) results for a relaxed structure of Tb4Pm2Pr3.

The structure in CIF format:
```
data_Tb4Pm2Pr3
_cell_length_a 14.4355
_cell_length_b 13.8348
_cell_length_c 6.4844
_cell_angle_alpha 90.00
_cell_angle_beta 106.41
_cell_angle_gamma 90.00
_space_group_name_H-M_alt 'C 1 2/c 1'
_space_group_IT_number 15
loop_
_space_group_symop_operation_xyz
'x,y,z'
'-x,-y,-z'
'-x,y,-z+1/2'
'x,-y,z+1/2'
'x+1/2,y+1/2,z'
'-x+1/2,-y+1/2,-z'
'-x+1/2,y+1/2,-z+1/2'
'x+1/2,-y+1/2,z+1/2'
loop_
_atom_site_label
_atom_site_type_symbol
_atom_site_fract_x
_atom_site_fract_y
_atom_site_fract_z
_atom_site_occupancy
Tb1 Tb 0.0988 0.0662 0.4693 1
Tb2 Tb 0.2079 0.4429 0.1098 1
Pm1 Pm 0.1380 0.3167 0.5030 1
Pr1 Pr 0.0000 0.4612 0.7500 1
Pr2 Pr 0.1087 0.2000 0.9898 1
```



(b)
DFT (PBE) results for a relaxed structure of Tb4Pm2Pr3.

The structure in CIF format:
```
data_Tb4Pm2Pr3
_cell_length_a 11.4694
_cell_length_b 5.1349
_cell_length_c 10.9241
_cell_angle_alpha 90.00
_cell_angle_beta 108.33
_cell_angle_gamma 90.00
_space_group_name_H-M_alt 'C 1 2/m 1'
_space_group_IT_number 12
loop_
_space_group_symop_operation_xyz
'x,y,z'
'-x,-y,-z'
'-x,y,-z'
'x,-y,z'
'x+1/2,y+1/2,z'
'-x+1/2,-y+1/2,-z'
'-x+1/2,y+1/2,-z'
'x+1/2,-y+1/2,z'
loop_
_atom_site_label
_atom_site_type_symbol
_atom_site_fract_x
_atom_site_fract_y
_atom_site_fract_z
_atom_site_occupancy
Tb1 Tb 0.0008 0.0000 0.3350 1
Tb2 Tb 0.1660 0.5000 0.8880 1
Pm1 Pm 0.1664 0.5000 0.5565 1
Pr1 Pr 0.0000 0.0000 0.0000 1
Pr2 Pr 0.1672 0.5000 0.2220 1
```



Verdict on stability: (a) comes out at the bottom.



(a)
DFT (PBE) results for a relaxed structure of Tb2Pm7Pr.

The structure in CIF format:
```
data_Tb2Pm7Pr
_cell_length_a 12.0865
_cell_length_b 17.0334
_cell_length_c 3.5153
_cell_angle_alpha 90.00
_cell_angle_beta 90.00
_cell_angle_gamma 90.00
_space_group_name_H-M_alt 'C m m m'
_space_group_IT_number 65
_space_group_name_Hall '-C 2 2'
loop_
_atom_site_label
_atom_site_type_symbol
_atom_site_fract_x
_atom_site_fract_y
_atom_site_fract_z
_atom_site_occupancy
Tb1 Tb 0.0000 0.1704 0.0000 1
Pm1 Pm 0.0000 0.3245 0.5000 1
Pm2 Pm 0.0000 0.5000 0.0000 1
Pm3 Pm 0.2434 0.3686 0.0000 1
Pr1 Pr 0.0000 0.0000 0.5000 1
```



(b)
DFT (PBE) results for a relaxed structure of Tb2Pm7Pr.

The structure in CIF format:
```
data_Tb2Pm7Pr
_cell_length_a 8.9079
_cell_length_b 16.2201
_cell_length_c 5.7213
_cell_angle_alpha 90.00
_cell_angle_beta 90.00
_cell_angle_gamma 90.00
_space_group_name_H-M_alt 'C m m m'
_space_group_IT_number 65
_space_group_name_Hall '-C 2 2'
loop_
_atom_site_label
_atom_site_type_symbol
_atom_site_fract_x
_atom_site_fract_y
_atom_site_fract_z
_atom_site_occupancy
Tb1 Tb 0.0000 0.2037 0.0000 1
Pm1 Pm 0.0000 0.0000 0.0000 1
Pm2 Pm 0.0000 0.2735 0.5000 1
Pm3 Pm 0.1789 0.3841 0.0000 1
Pr1 Pr 0.0000 0.5000 0.5000 1
```



Verdict on stability: (b) comes out at the bottom.